# 1
# PaReMo

A relaxed structure of PaReMo (PBE-GGA, Alexandria).

size of the total moment	0.00	μB per formula unit
N(E_F)	1.2401	states/eV/atom
polymorph energy (0 for the lowest one)	0	meV/atom
formation energy	-0.054	eV/atom
space group	No. 38
total DFT energy (no corrections)	-131.7	eV per cell

```
PaReMo
1.0
-3.256 -2.691 -3.195
3.936 -2.440 2.569
-5.834 -1.669 7.352
Pa Mo Re
4 4 4
Direct
0.331 0.669 0.189 Pa
0.669 0.331 0.694 Pa
0.331 0.669 0.811 Pa
0.669 0.331 0.306 Pa
0.171 0.335 0.500 Mo
0.004 0.996 0.753 Mo
0.004 0.996 0.247 Mo
0.665 0.829 0.500 Mo
0.172 0.828 0.500 Re
0.824 0.176 0.000 Re
0.333 0.175 0.000 Re
0.825 0.667 0.000 Re
```

# 2
# PaRe5Mo

A relaxed structure of PaRe5Mo (PBE-GGA, Alexandria).

size of the total moment	0.00	μB per formula unit
N(E_F)	1.0908	states/eV/atom
formation energy	0.045	eV/atom
space group	No. 62
total DFT energy (no corrections)	-329.0	eV per cell

```
PaRe5Mo
1.0
-3.002 4.127 -0.799
-5.973 -3.325 5.268
4.689 5.056 8.507
Re Pa Mo
20 4 4
Direct
0.991 0.435 0.188 Re
0.750 0.309 0.741 Re
0.250 0.125 0.474 Re
0.491 0.065 0.688 Re
0.009 0.565 0.812 Re
0.509 0.935 0.312 Re
0.009 0.065 0.688 Re
0.750 0.057 0.920 Re
0.250 0.443 0.420 Re
0.750 0.809 0.759 Re
0.750 0.875 0.526 Re
0.991 0.935 0.312 Re
0.509 0.435 0.188 Re
0.250 0.943 0.080 Re
0.250 0.691 0.259 Re
0.750 0.557 0.580 Re
0.250 0.625 0.026 Re
0.250 0.191 0.241 Re
0.491 0.565 0.812 Re
0.750 0.375 0.974 Re
0.250 0.249 0.943 Pa
0.250 0.749 0.557 Pa
0.750 0.751 0.057 Pa
0.750 0.251 0.443 Pa
0.250 0.864 0.852 Mo
0.750 0.636 0.352 Mo
0.250 0.364 0.648 Mo
0.750 0.136 0.148 Mo
```

# 3
# Pa2ReMo

A relaxed structure of Pa2ReMo (PBE-GGA, Alexandria).

size of the total moment	0.00	μB per formula unit
N(E_F)	0.9569	states/eV/atom
polymorph energy (0 for the lowest one)	0	meV/atom
formation energy	0.098	eV/atom
space group	No. 225
total DFT energy (no corrections)	-41.9	eV per cell

```
Pa2ReMo
1.0
-3.975 -0.026 -2.870
0.147 -2.217 -4.371
-2.478 -4.170 -0.719
Pa Mo Re
2 1 1
Direct
0.250 0.250 0.250 Pa
0.750 0.750 0.750 Pa
0.000 0.000 0.000 Mo
0.500 0.500 0.500 Re
```

# 4
# PaReMo

A relaxed structure of PaReMo (PBE-GGA, Alexandria).

size of the total moment	0.00	μB per formula unit
N(E_F)	1.6076	states/eV/atom
polymorph energy (0 for the lowest one)	573	meV/atom
formation energy	0.520	eV/atom
space group	No. 166
total DFT energy (no corrections)	-62.4	eV per cell

```
PaReMo
1.0
4.267 0.000 0.000
2.133 3.695 0.000
2.133 1.232 8.402
Re Pa Mo
2 2 2
Direct
0.810 0.810 0.569 Re
0.190 0.190 0.431 Re
0.945 0.945 0.164 Pa
0.055 0.055 0.836 Pa
0.447 0.447 0.659 Mo
0.553 0.553 0.341 Mo
```

# 5
# PaReMo2

A relaxed structure of PaReMo2 (PBE-GGA, Alexandria).

size of the total moment	0.00	μB per formula unit
N(E_F)	1.4720	states/eV/atom
polymorph energy (0 for the lowest one)	0	meV/atom
formation energy	0.126	eV/atom
space group	No. 225
total DFT energy (no corrections)	-43.1	eV per cell

```
PaReMo2
1.0
4.638 0.000 0.000
2.319 4.017 0.000
2.319 1.339 3.787
Re Pa Mo
1 1 2
Direct
0.500 0.500 0.500 Re
0.000 0.000 0.000 Pa
0.250 0.250 0.250 Mo
0.750 0.750 0.750 Mo
```

# 6
# Pa2ReMo

A relaxed structure of Pa2ReMo (PBE-GGA, Alexandria).

size of the total moment	0.00	μB per formula unit
N(E_F)	1.4594	states/eV/atom
polymorph energy (0 for the lowest one)	433	meV/atom
formation energy	0.530	eV/atom
space group	No. 166
total DFT energy (no corrections)	-40.1	eV per cell

```
Pa2ReMo
1.0
-2.638 0.015 1.541
-0.231 -1.506 2.649
1.980 7.747 6.341
Pa Mo Re
2 1 1
Direct
0.089 0.089 0.734 Pa
0.911 0.911 0.266 Pa
0.000 0.000 0.000 Mo
0.500 0.500 0.500 Re
```

# 7
# Pa2Re3Mo

A relaxed structure of Pa2Re3Mo (PBE-GGA, Alexandria).

size of the total moment	0.00	μB per formula unit
N(E_F)	1.2235	states/eV/atom
formation energy	-0.124	eV/atom
space group	No. 12
total DFT energy (no corrections)	-67.9	eV per cell

```
Pa2Re3Mo
1.0
-3.058 -4.352 -0.348
5.090 -1.008 1.220
-1.355 3.269 3.978
Mo Pa Re
1 2 3
Direct
0.000 0.000 0.000 Mo
0.250 0.624 0.874 Pa
0.750 0.376 0.126 Pa
0.000 0.000 0.500 Re
0.500 0.000 0.500 Re
0.500 0.500 0.500 Re
```

# 8
# PaReMo2

A relaxed structure of PaReMo2 (PBE-GGA, Alexandria).

size of the total moment	0.00	μB per formula unit
N(E_F)	0.8539	states/eV/atom
polymorph energy (0 for the lowest one)	100	meV/atom
formation energy	0.226	eV/atom
space group	No. 123
total DFT energy (no corrections)	-42.7	eV per cell

```
PaReMo2
1.0
3.291 0.000 0.000
0.000 3.291 0.000
0.000 0.000 6.556
Mo Pa Re
2 1 1
Direct
0.000 0.000 0.765 Mo
0.000 0.000 0.235 Mo
0.500 0.500 0.500 Pa
0.500 0.500 0.000 Re
```

# 9
# PaReMo2

A relaxed structure of PaReMo2 (PBE-GGA, Alexandria).

size of the total moment	0.00	μB per formula unit
N(E_F)	1.2391	states/eV/atom
polymorph energy (0 for the lowest one)	42	meV/atom
formation energy	0.169	eV/atom
space group	No. 123
total DFT energy (no corrections)	-42.9	eV per cell

```
PaReMo2
1.0
3.245 0.000 0.000
0.000 4.691 0.000
0.000 0.000 4.691
Pa Mo Re
1 2 1
Direct
0.500 0.000 0.000 Pa
0.000 0.500 0.000 Mo
0.000 0.000 0.500 Mo
0.500 0.500 0.500 Re
```

# 10
# Pa2ReMo

A relaxed structure of Pa2ReMo (PBE-GGA, Alexandria).

size of the total moment	0.00	μB per formula unit
N(E_F)	1.3927	states/eV/atom
polymorph energy (0 for the lowest one)	156	meV/atom
formation energy	0.253	eV/atom
space group	No. 12
total DFT energy (no corrections)	-41.3	eV per cell

```
Pa2ReMo
1.0
-1.270 -1.173 2.863
4.406 0.452 0.186
-0.596 5.857 2.136
Pa Re Mo
2 1 1
Direct
0.720 0.440 0.751 Pa
0.280 0.560 0.249 Pa
0.000 0.000 0.000 Re
0.000 0.000 0.500 Mo
```

# 11
# Pa2ReMo

A relaxed structure of Pa2ReMo (PBE-GGA, Alexandria).

size of the total moment	0.00	μB per formula unit
N(E_F)	1.2815	states/eV/atom
polymorph energy (0 for the lowest one)	11	meV/atom
formation energy	0.108	eV/atom
space group	No. 123
total DFT energy (no corrections)	-41.8	eV per cell

```
Pa2ReMo
1.0
3.473 0.000 0.000
0.000 4.898 0.000
0.000 0.000 4.898
Pa Mo Re
2 1 1
Direct
0.000 0.000 0.500 Pa
0.000 0.500 0.000 Pa
0.500 0.500 0.500 Mo
0.500 0.000 0.000 Re
```

# 12
# PaReMo

A relaxed structure of PaReMo (PBE-GGA, Alexandria).

size of the total moment	0.00	μB per formula unit
N(E_F)	1.0637	states/eV/atom
polymorph energy (0 for the lowest one)	375	meV/atom
formation energy	0.321	eV/atom
space group	No. 156
total DFT energy (no corrections)	-31.8	eV per cell

```
PaReMo
1.0
-2.551 -1.278 -3.054
-0.124 -1.859 3.741
-2.831 2.686 1.241
Re Pa Mo
1 1 1
Direct
0.000 0.000 0.077 Re
0.333 0.667 0.673 Pa
0.667 0.333 0.250 Mo
```

# 13
# PaRe4Mo

A relaxed structure of PaRe4Mo (PBE-GGA, Alexandria).

size of the total moment	0.00	μB per formula unit
N(E_F)	0.9013	states/eV/atom
formation energy	0.160	eV/atom
space group	No. 216
total DFT energy (no corrections)	-69.2	eV per cell

```
PaRe4Mo
1.0
5.312 0.000 0.000
2.656 4.601 0.000
2.656 1.534 4.337
Re Mo Pa
4 1 1
Direct
0.125 0.625 0.625 Re
0.625 0.625 0.625 Re
0.625 0.625 0.125 Re
0.625 0.125 0.625 Re
0.000 0.000 0.000 Mo
0.250 0.250 0.250 Pa
```

# 14
# ScPaReMo

A relaxed structure of ScPaReMo (PBE-GGA, Alexandria).

size of the total moment	0.00	μB per formula unit
N(E_F)	0.9496	states/eV/atom
formation energy	-0.065	eV/atom
space group	No. 216
total DFT energy (no corrections)	-39.4	eV per cell

```
ScPaReMo
1.0
4.743 0.000 0.000
2.372 4.108 0.000
2.372 1.369 3.873
Re Mo Sc Pa
1 1 1 1
Direct
0.750 0.750 0.750 Re
0.250 0.250 0.250 Mo
0.000 0.000 0.000 Sc
0.500 0.500 0.500 Pa
```

# 15
# PaReSi2Mo

A relaxed structure of PaReSi2Mo (PBE-GGA, Alexandria).

size of the total moment	0.00	μB per formula unit
N(E_F)	1.2078	states/eV/atom
space group	No. 119
total DFT energy (no corrections)	-45.6	eV per cell
formation energy (no corrections)	-0.397	eV per atom

```
PaReSi2Mo
1.0
4.081 0.000 0.000
0.000 4.081 0.000
-2.040 -2.040 5.227
Re Si Mo Pa
1 2 1 1
Direct
0.750 0.250 0.500 Re
0.386 0.386 0.772 Si
0.614 0.614 0.228 Si
0.250 0.750 0.500 Mo
0.000 0.000 0.000 Pa
```

# 16
# PaReTcMo

A relaxed structure of PaReTcMo (PBE-GGA, Alexandria).

size of the total moment	0.00	μB per formula unit
N(E_F)	1.6682	states/eV/atom
formation energy	0.124	eV/atom
space group	No. 216
total DFT energy (no corrections)	-42.6	eV per cell

```
PaReTcMo
1.0
-2.895 1.545 -3.290
-2.232 -3.021 -2.736
-4.583 -0.610 0.465
Mo Pa Re Tc
1 1 1 1
Direct
0.750 0.750 0.750 Mo
0.250 0.250 0.250 Pa
0.000 0.000 0.000 Re
0.500 0.500 0.500 Tc
```

# 17
# PaTiReMo

A relaxed structure of PaTiReMo (PBE-GGA, Alexandria).

size of the total moment	0.00	μB per formula unit
N(E_F)	0.8974	states/eV/atom
formation energy	-0.140	eV/atom
space group	No. 216
total DFT energy (no corrections)	-41.2	eV per cell

```
PaTiReMo
1.0
-1.848 -4.088 -1.251
-2.002 -2.728 3.201
-4.623 -0.568 0.014
Mo Re Ti Pa
1 1 1 1
Direct
0.250 0.250 0.250 Mo
0.750 0.750 0.750 Re
0.500 0.500 0.500 Ti
0.000 0.000 0.000 Pa
```

# 18
# PaVReMo

A relaxed structure of PaVReMo (PBE-GGA, Alexandria).

size of the total moment	0.00	μB per formula unit
N(E_F)	0.8372	states/eV/atom
formation energy	0.008	eV/atom
space group	No. 216
total DFT energy (no corrections)	-41.9	eV per cell

```
PaVReMo
1.0
4.600 0.000 0.000
2.300 3.984 0.000
2.300 1.328 3.756
Re Pa Mo V
1 1 1 1
Direct
0.250 0.250 0.250 Re
0.000 0.000 0.000 Pa
0.750 0.750 0.750 Mo
0.500 0.500 0.500 V
```

# 19
# Pa2MoRh

A relaxed structure of Pa2MoRh (PBE-GGA, Alexandria).

size of the total moment	0.00	μB per formula unit
N(E_F)	1.7119	states/eV/atom
polymorph energy (0 for the lowest one)	417	meV/atom
formation energy	0.188	eV/atom
space group	No. 166
total DFT energy (no corrections)	-36.4	eV per cell

```
Pa2MoRh
1.0
-2.072 -0.005 -2.366
1.009 -0.171 -2.974
-0.797 -9.756 -1.372
Pa Mo Rh
2 1 1
Direct
0.913 0.913 0.262 Pa
0.087 0.087 0.738 Pa
0.500 0.500 0.500 Mo
0.000 0.000 0.000 Rh
```

# 20
# PaMoRh

A relaxed structure of PaMoRh (PBE-GGA, Alexandria).

size of the total moment	0.00	μB per formula unit
N(E_F)	1.9138	states/eV/atom
polymorph energy (0 for the lowest one)	315	meV/atom
formation energy	0.265	eV/atom
space group	No. 216
total DFT energy (no corrections)	-107.5	eV per cell

```
PaMoRh
1.0
-2.228 4.138 5.130
2.325 -0.944 6.490
4.328 4.640 2.855
Rh Mo Pa
4 4 4
Direct
0.154 0.154 0.537 Rh
0.154 0.537 0.154 Rh
0.537 0.154 0.154 Rh
0.154 0.154 0.154 Rh
0.306 0.898 0.898 Mo
0.898 0.306 0.898 Mo
0.898 0.898 0.898 Mo
0.898 0.898 0.306 Mo
0.622 0.135 0.622 Pa
0.622 0.622 0.622 Pa
0.135 0.622 0.622 Pa
0.622 0.622 0.135 Pa
```